Entry 1
This record from Alexandria describes crystalline Ca2IF2 at its relaxed geometry. The functional is PBE-GGA.

Summary:
- SG = I4/mmm

a b c (Å): 6.6448 6.6448 6.6448
angles (deg): 142.77 142.77 53.67
Fractional positions:
Ca: 0.1537 0.1537 0.0000
Ca: 0.8463 0.8463 0.0000
I: 0.5000 0.5000 0.0000
F: 0.2500 0.7500 0.5000
F: 0.7500 0.2500 0.5000

Entry 2
This record from Alexandria describes crystalline Ca2IF2 at its relaxed geometry. The functional is PBE-GGA.

Summary:
- SG = I4_1md

a b c (Å): 7.5344 7.5344 7.5344
angles (deg): 124.30 124.30 82.70
Fractional positions:
Ca: 0.2434 0.0000 0.2434
Ca: 0.7500 0.0066 0.2566
Ca: 0.7500 0.4934 0.7434
Ca: 0.7566 0.0000 0.7566
I: 0.2674 0.7674 0.5000
I: 0.5174 0.5174 0.0000
F: 0.4956 0.1988 0.2969
F: 0.9019 0.1988 0.7031
F: 0.9488 0.1519 0.2031
F: 0.9488 0.7456 0.7969

Relative energy table, unit eV/atom: entry 1 0.000; entry 2 0.149

Entry 1
This record from Alexandria describes crystalline CaINF2 at its relaxed geometry. The functional is PBE-GGA.

Summary:
- SG = P4/mmm

a b c (Å): 4.2134 4.2134 6.4404
angles (deg): 90.00 90.00 90.00
Fractional positions:
Ca: 0.0000 0.0000 0.0000
I: 0.5000 0.5000 0.5000
N: 0.0000 0.0000 0.5000
F: 0.0000 0.5000 0.0000
F: 0.5000 0.0000 0.0000

Entry 2
This record from Alexandria describes crystalline CaINF2 at its relaxed geometry. The functional is PBE-GGA.

Summary:
- SG = P4/mmm

a b c (Å): 4.9358 4.9358 4.1422
angles (deg): 90.00 90.00 90.00
Fractional positions:
Ca: 0.0000 0.0000 0.0000
I: 0.5000 0.5000 0.5000
N: 0.5000 0.5000 0.0000
F: 0.0000 0.5000 0.5000
F: 0.5000 0.0000 0.5000

Relative energy table, unit eV/atom: entry 1 0.000; entry 2 0.492